{
  "formula": "ZnReOs2",
  "functional": "GGA-PBE",
  "state": "optimized geometry",
  "e_tot_ev_per_atom": -8.55,
  "formation_enthalpy_0k_ev_per_atom": 0.495,
  "cell": [[2.819, 0.000, 0.000], [0.000, 4.512, 0.000], [0.000, 0.000, 4.589]],
  "species": ["Zn", "Re", "Os", "Os"],
  "fractional_positions": [[0.000, 0.000, 0.000], [0.500, 0.000, 0.500], [0.000, 0.500, 0.500], [0.500, 0.500, 0.000]]
}

=====

{
  "formula": "Cs3CdHg2Br8",
  "functional": "GGA-PBE",
  "state": "optimized geometry",
  "e_form_raw_ev_per_atom": -1.059,
  "e_tot_ev_per_atom": -2.31,
  "cell": [[8.068, 0.000, 0.000], [-4.034, 6.987, 0.000], [0.000, 0.000, 10.464]],
  "species": ["Cs", "Cs", "Cs", "Cd", "Hg", "Hg", "Br", "Br", "Br", "Br", "Br", "Br", "Br", "Br"],
  "fractional_positions": [[0.000, 0.000, 0.000], [0.333, 0.667, 0.612], [0.667, 0.333, 0.388], [0.000, 0.000, 0.500], [0.333, 0.667, 0.197], [0.667, 0.333, 0.803], [0.161, 0.322, 0.334], [0.161, 0.839, 0.334], [0.322, 0.161, 0.666], [0.333, 0.667, 0.947], [0.667, 0.333, 0.053], [0.678, 0.839, 0.334], [0.839, 0.161, 0.666], [0.839, 0.678, 0.666]]
}

=====

{
  "formula": "Sm6TlSb2",
  "functional": "GGA-PBE",
  "state": "optimized geometry",
  "e_form_raw_ev_per_atom": -0.600,
  "e_tot_ev_per_atom": -4.92,
  "cell": [[8.525, 0.000, 0.000], [-4.262, 7.383, 0.000], [0.000, 0.000, 4.415]],
  "species": ["Sm", "Sm", "Sm", "Sm", "Sm", "Sm", "Tl", "Sb", "Sb"],
  "fractional_positions": [[0.000, 0.411, 0.000], [0.000, 0.741, 0.500], [0.259, 0.259, 0.500], [0.411, 0.000, 0.000], [0.589, 0.589, 0.000], [0.741, 0.000, 0.500], [0.000, 0.000, 0.000], [0.333, 0.667, 0.500], [0.667, 0.333, 0.500]]
}

=====

{
  "formula": "Ta2TlCd",
  "functional": "GGA-PBE",
  "state": "optimized geometry",
  "e_tot_ev_per_atom": -6.25,
  "formation_enthalpy_0k_ev_per_atom": 0.501,
  "cell": [[2.940, 0.000, 0.000], [0.000, 2.940, 0.000], [0.000, 0.000, 9.154]],
  "species": ["Ta", "Ta", "Tl", "Cd"],
  "fractional_positions": [[0.000, 0.000, 0.247], [0.000, 0.000, 0.753], [0.500, 0.500, 0.500], [0.500, 0.500, 0.000]]
}